This record from Alexandria via LeMat-Bulk describes an optimized crystal structure of La2YHoIn2. The functional is PBE.

Cell: 5.145 6.902 10.260 Å, 90.00 90.00 90.00°
Sites, in units of the cell vectors:
La 0.500 0.088 0.059
La 0.000 0.310 0.180
La 0.500 0.588 0.941
La 0.000 0.810 0.820
Y 0.000 0.956 0.459
Y 0.000 0.456 0.541
Ho 0.500 0.175 0.690
Ho 0.500 0.675 0.310
In 0.000 0.299 0.850
In 0.500 0.218 0.387
In 0.000 0.799 0.150
In 0.500 0.718 0.613

Properties
Energy = -4.763 eV per atom
DFT formation energy = -0.367 eV/atom
Magnetic moment = 0.00 μB per cell
SG = Pmc2_1 (26)